[1]
Er6GeTe3Se2 | Alexandria | PBE | relaxed; formation energy from raw total energies = -16.9 eV per formula unit; size of the total moment = 0.0 μB/cell; space group = C2/m; crystal system = monoclinic; theoretical density = 8.5 Mg/m³
1.0
-3.5219 -3.7721 5.0247
6.7920 -1.7112 -1.6793
1.2443 6.2204 3.8266
Er Se Te Ge
6 2 3 1
Direct
0.6030 0.9285 0.7838
0.3970 0.0715 0.2162
0.7481 0.7481 0.2181
0.9285 0.6030 0.7838
0.2519 0.2519 0.7819
0.0715 0.3970 0.2162
0.3339 0.6661 0.0000
0.6661 0.3339 0.0000
0.1694 0.8306 0.5000
0.5000 0.5000 0.5000
0.8306 0.1694 0.5000
0.0000 0.0000 0.0000



[2]
InPbBrCl4 | Alexandria | PBE | relaxed; formation energy from raw total energies = -7.1 eV per formula unit; size of the total moment = 0.0 μB/cell; space group = C2/m; crystal system = monoclinic; theoretical density = 3.4 Mg/m³
1.0
8.0297 -0.0334 0.0948
2.6282 7.5875 0.0948
2.2594 1.6014 8.8626
Pb In Br Cl
2 2 2 8
Direct
0.1724 0.1724 0.9169
0.8276 0.8276 0.0831
0.6436 0.6436 0.7273
0.3564 0.3564 0.2727
0.0034 0.0034 0.2035
0.9966 0.9966 0.7965
0.9167 0.5310 0.8346
0.5310 0.9167 0.8346
0.7207 0.7207 0.4609
0.2793 0.2793 0.5391
0.4542 0.4542 0.8134
0.5458 0.5458 0.1866
0.0833 0.4690 0.1654
0.4690 0.0833 0.1654



[3]
AsS3Br | Alexandria | PBE | relaxed; formation energy from raw total energies = 3.8 eV per formula unit; energy relative to the lowest polymorph listed for this composition = 788.0 meV/atom; size of the total moment = 0.0 μB/cell; space group = Pm-3m; crystal system = cubic; theoretical density = 3.8 Mg/m³
1.0
-2.7706 -3.5724 -1.5997
3.2299 -3.1937 1.5380
-2.2110 -0.1889 4.2512
S Br As
3 1 1
Direct
0.0000 0.5000 0.0000
0.0000 0.0000 0.5000
0.5000 0.0000 0.0000
0.5000 0.5000 0.5000
0.0000 0.0000 0.0000



[4]
PuAg3Cl6 | Alexandria | PBE | relaxed; formation energy from raw total energies = -9.7 eV per formula unit; size of the total moment = 5.0 μB/cell; space group = P-1; crystal system = triclinic; theoretical density = 3.9 Mg/m³
1.0
6.9453 0.1949 3.5848
2.5291 6.4549 3.6596
0.5587 0.1176 7.8235
Cl Ag Pu
6 3 1
Direct
0.2144 0.7512 0.7512
0.2705 0.7285 0.2243
0.7856 0.2488 0.2488
0.7295 0.2715 0.7757
0.7262 0.7790 0.2683
0.2738 0.2210 0.7317
0.5000 0.5000 0.5000
0.5000 0.0000 0.5000
0.5000 0.5000 0.0000
0.0000 0.0000 0.0000



[5]
La2In2Sn | Alexandria | PBE | relaxed; energy relative to the lowest polymorph listed for this composition = 265.5 meV/atom; size of the total moment = 0.0 μB/cell; space group = P4/mbm; crystal system = tetragonal; theoretical density = 6.5 Mg/m³; ΔE_f = -0.29 eV per atom
1.0
8.2579 0.0000 0.0000
0.0000 8.2579 0.0000
0.0000 0.0000 4.7241
Sn In La
2 4 4
Direct
0.0000 0.0000 0.0000
0.5000 0.5000 0.0000
0.6628 0.8372 0.5000
0.1628 0.6628 0.5000
0.8372 0.3372 0.5000
0.3372 0.1628 0.5000
0.8621 0.6379 0.0000
0.1379 0.3621 0.0000
0.3621 0.8621 0.0000
0.6379 0.1379 0.0000



[6]
Rb2Re2Sn | Alexandria | PBE | relaxed; energy relative to the lowest polymorph listed for this composition = 0.0 meV/atom; size of the total moment = 0.0 μB/cell; space group = I4/mmm; crystal system = tetragonal; theoretical density = 7.0 Mg/m³; ΔE_f = 0.79 eV per atom
1.0
3.5197 0.0000 0.0000
0.0000 3.5197 0.0000
1.7598 1.7598 12.5963
Rb Re Sn
2 2 1
Direct
0.6198 0.6198 0.7604
0.3802 0.3802 0.2396
0.2500 0.7500 0.5000
0.7500 0.2500 0.5000
0.0000 0.0000 0.0000



[7]
AcLa2DyY | Alexandria | PBE | relaxed; size of the total moment = 0.0 μB/cell; space group = Cmcm; crystal system = orthorhombic; theoretical density = 6.5 Mg/m³; ΔE_f = 0.35 eV per atom
1.0
-7.4362 -0.6440 -0.4865
0.2773 -6.9028 4.8987
-0.7699 6.9686 2.5425
Ac La Y Dy
2 4 2 2
Direct
0.2500 0.7597 0.5194
0.7500 0.2403 0.4806
0.5000 0.6958 0.0000
0.0000 0.6958 0.0000
0.0000 0.3042 0.0000
0.5000 0.3042 0.0000
0.7500 0.9518 0.9035
0.2500 0.0482 0.0965
0.7500 0.6982 0.3963
0.2500 0.3018 0.6037



[8]
TaIn2PdAu | Alexandria | PBE | relaxed; size of the total moment = 0.0 μB/cell; space group = P4/mmm; crystal system = tetragonal; theoretical density = 9.5 Mg/m³; ΔE_f = 1.13 eV per atom
1.0
5.0116 0.0000 0.0000
0.0000 4.9847 0.0000
0.0000 0.0000 5.0116
In Au Ta Pd
2 1 1 1
Direct
0.5000 0.0000 0.0000
0.0000 0.0000 0.5000
0.0000 0.0000 0.0000
0.5000 0.5000 0.5000
0.0000 0.5000 0.0000



Q: Which value of size of the total moment does entry 4 give?
A: 5.0 μB/cell



Q: Which value of size of the total moment does entry 7 give?
A: 0.0 μB/cell



Q: theoretical density of number 5 (La2In2Sn)?
A: 6.5 Mg/m³